# 1
A relaxed structure of Rb2HIF6, computed with PBE-GGA.

a b c (Å): 6.3454 5.5305 7.8335
angles (deg): 116.62 116.77 95.77
With the nearest neighbours (Å) after each atom.
Atoms (fractional coordinates):
1 F 0.7868 0.1735 0.8335  1 I 2.06
2 H 0.5210 0.4403 0.1674  1 F 1.01
3 F 0.3141 0.1880 0.9720  1 H 1.39
4 F 0.2347 0.8376 0.1561  1 I 2.03
5 Rb 0.7662 0.2163 0.4767  5 F 2.63-2.91
6 F 0.7372 0.8730 0.0276  1 I 1.97
7 Rb 0.2557 0.8386 0.5378  5 F 2.76-2.93
8 F 0.6740 0.6073 0.3228  1 H 1.01
9 I 0.0169 0.0201 0.0094  3 F 1.97-2.06
10 F 0.1924 0.3092 0.4947  3 Rb 2.63-2.82, 1 F 2.91, 1 I 2.94

## Properties
**Mass density**: 3.38 Mg/m³
**Symmetry**: No. 1
**E above lowest polymorph**: 0 meV per atom

***

# 2
A relaxed structure of Rb4H2IF, computed with PBE-GGA.

a b c (Å): 9.1677 9.1677 9.0583
angles (deg): 119.40 119.40 91.08
With the nearest neighbours (Å) after each atom.
Atoms (fractional coordinates):
1 Rb 0.2786 0.2455 0.5304  3 H 3.04-3.19, 1 F 3.26
2 Rb 0.3224 0.7481 0.5352  1 F 2.80, 2 H 3.03-3.05
3 H 0.5000 0.5000 0.0000  4 Rb 3.04-3.19
4 Rb 0.6776 0.2519 0.4648  1 F 2.80, 2 H 3.03-3.05
5 Rb 0.7455 0.7786 0.0304  3 H 3.04-3.19, 1 F 3.26
6 Rb 0.7519 0.1776 0.9648  1 F 2.80, 2 H 3.03-3.05
7 H 0.0000 0.0000 0.5000  4 Rb 3.04-3.19
8 F 0.0000 0.0000 0.0000  2 Rb 2.80
9 Rb 0.2545 0.2214 0.9696  3 H 3.04-3.19, 1 F 3.26
10 H 0.5000 0.0000 0.0000  6 Rb 3.03-3.06
11 Rb 0.7214 0.7545 0.4696  3 H 3.04-3.19, 1 F 3.26
12 I 0.0000 0.5000 0.0000  6 Rb 3.48-3.50
13 F 0.5000 0.5000 0.5000  2 Rb 2.80
14 I 0.0000 0.5000 0.5000  6 Rb 3.48-3.50
15 H 0.5000 0.0000 0.5000  6 Rb 3.03-3.06
16 Rb 0.2481 0.8224 0.0352  1 F 2.80, 2 H 3.03-3.05

## Properties
**Mass density**: 3.00 Mg/m³
**Symmetry**: No. 15

***

# 3
A relaxed structure of Rb2HIF6, computed with PBE-GGA.

a b c (Å): 5.9116 5.9116 6.3231
angles (deg): 62.13 62.13 90.00
With the nearest neighbours (Å) after each atom.
Atoms (fractional coordinates):
1 F 0.7052 0.2948 0.0000  1 H 1.72
2 F 0.2948 0.7052 0.0000  1 H 1.72
3 F 0.7052 0.7052 0.0000  1 H 1.72
4 Rb 0.2500 0.7500 0.5000  12 F 2.97-3.18
5 I 0.0000 0.0000 0.0000  2 F 2.05
6 F 0.2948 0.2948 0.0000  1 H 1.72
7 F 0.2163 0.2163 0.5675  1 I 2.05
8 Rb 0.7500 0.2500 0.5000  12 F 2.97-3.18
9 H 0.5000 0.5000 0.0000  4 F 1.72
10 F 0.7837 0.7837 0.4325  1 I 2.05

## Properties
**Mass density**: 4.13 Mg/m³
**Symmetry**: No. 139
**E above lowest polymorph**: 425 meV per atom

***

# 4
A relaxed structure of RbH2IF2, computed with PBE-GGA.

a b c (Å): 4.2119 9.7380 10.1901
angles (deg): 138.34 90.00 90.00
With the nearest neighbours (Å) after each atom.
Atoms (fractional coordinates):
1 I 0.7500 0.8481 0.1868  4 Rb 3.53-3.56, 4 H 3.68-3.92, 3 F 3.77-3.91
2 Rb 0.7500 0.3372 0.6934  4 I 3.53-3.56, 3 F 3.66-3.95, 2 H 3.70
3 H 0.5027 0.2600 0.2546  2 F 1.15-1.18
4 Rb 0.2500 0.6628 0.3066  4 I 3.53-3.56, 3 F 3.66-3.95, 2 H 3.70
5 H 0.0027 0.7400 0.7454  2 F 1.15-1.18
6 H 0.4973 0.7400 0.7454  2 F 1.15-1.18
7 F 0.7500 0.6978 0.6740  2 H 1.18
8 F 0.7500 0.2415 0.1953  2 H 1.15
9 H 0.9973 0.2600 0.2546  2 F 1.15-1.18
10 F 0.2500 0.7585 0.8047  2 H 1.15
11 F 0.2500 0.3022 0.3260  2 H 1.18
12 I 0.2500 0.1519 0.8132  4 Rb 3.53-3.56, 4 H 3.68-3.92, 3 F 3.77-3.91

## Properties
**Mass density**: 3.02 Mg/m³
**Symmetry**: No. 11

***

# 5
A relaxed structure of SbHIF2, computed with PBE-GGA.

a b c (Å): 4.5356 3.7388 4.5356
angles (deg): 90.00 90.00 90.00
With the nearest neighbours (Å) after each atom.
Atoms (fractional coordinates):
1 H 0.0000 0.0000 0.0000  2 I 1.87
2 F 0.5000 0.0000 0.0000  2 H 2.27
3 F 0.0000 0.0000 0.5000  2 H 2.27
4 I 0.0000 0.5000 0.0000  2 H 1.87
5 Sb 0.5000 0.5000 0.5000  8 F 2.94, 4 I 3.21

## Properties
**Mass density**: 6.21 Mg/m³
**Symmetry**: No. 123

***

# 6
A relaxed structure of Sb2HIF, computed with PBE-GGA.

a b c (Å): 4.4681 4.4681 5.1154
angles (deg): 90.00 90.00 90.00
With the nearest neighbours (Å) after each atom.
Atoms (fractional coordinates):
1 H 0.0000 0.0000 0.0000  4 Sb 2.23
2 F 0.5000 0.5000 0.5000  4 I 3.16, 8 Sb 3.40
3 I 0.0000 0.0000 0.5000  2 H 2.56
4 Sb 0.5000 0.0000 0.0000  2 H 2.23
5 Sb 0.0000 0.5000 0.0000  2 H 2.23

## Properties
**Mass density**: 6.35 Mg/m³
**Symmetry**: No. 123
**E above lowest polymorph**: 0 meV per atom

***

# 7
A relaxed structure of HSe2IF, computed with PBE-GGA.

a b c (Å): 3.8529 7.9869 3.8529
angles (deg): 90.00 90.00 90.00
With the nearest neighbours (Å) after each atom.
Atoms (fractional coordinates):
1 Se 0.0000 0.0000 0.5000  2 H 1.93
2 F 0.5000 0.5000 0.5000  4 I 2.72
3 Se 0.5000 0.0000 0.0000  2 H 1.93
4 H 0.0000 0.0000 0.0000  4 Se 1.93
5 I 0.0000 0.5000 0.0000  4 F 2.72

## Properties
**Mass density**: 4.27 Mg/m³
**Symmetry**: No. 123

***

# 8
A relaxed structure of TeHI2F, computed with PBE-GGA.

a b c (Å): 5.3956 5.3956 3.9095
angles (deg): 90.00 90.00 90.00
With the nearest neighbours (Å) after each atom.
Atoms (fractional coordinates):
1 H 0.0000 0.0000 0.0000  2 Te 1.95
2 F 0.5000 0.5000 0.5000  8 I 3.33
3 I 0.5000 0.0000 0.0000  2 H 2.70
4 I 0.0000 0.5000 0.0000  2 H 2.70
5 Te 0.0000 0.0000 0.5000  2 H 1.95

## Properties
**Mass density**: 5.86 Mg/m³
**Symmetry**: No. 123
**E above lowest polymorph**: 0 meV per atom

***

# 9
A relaxed structure of TeHI2F, computed with PBE-GGA.

a b c (Å): 5.9458 5.9458 4.2482
angles (deg): 90.00 90.00 90.00
With the nearest neighbours (Å) after each atom.
Atoms (fractional coordinates):
1 I 0.0000 0.5000 0.0000  2 F 2.97
2 F 0.0000 0.0000 0.0000  2 Te 2.12
3 H 0.5000 0.5000 0.5000  8 I 3.65
4 Te 0.0000 0.0000 0.5000  2 F 2.12
5 I 0.5000 0.0000 0.0000  2 F 2.97

## Properties
**Mass density**: 4.44 Mg/m³
**Symmetry**: No. 123
**E above lowest polymorph**: 108 meV per atom

***

# 10
A relaxed structure of TiHI2F, computed with PBE-GGA.

a b c (Å): 5.1136 3.5448 5.1136
angles (deg): 90.00 90.00 90.00
With the nearest neighbours (Å) after each atom.
Atoms (fractional coordinates):
1 H 0.0000 0.0000 0.0000  2 Ti 1.77
2 I 0.5000 0.0000 0.0000  2 H 2.56
3 I 0.0000 0.0000 0.5000  2 H 2.56
4 F 0.5000 0.5000 0.5000  8 I 3.11
5 Ti 0.0000 0.5000 0.0000  2 H 1.77

## Properties
**Mass density**: 5.76 Mg/m³
**Symmetry**: No. 123

***

# 11
A relaxed structure of TlHIF, computed with PBE-GGA.

a b c (Å): 4.9648 5.0816 5.6693
angles (deg): 100.38 90.00 119.24
With the nearest neighbours (Å) after each atom.
Atoms (fractional coordinates):
1 Tl 0.8961 0.7922 0.7564  3 F 2.98-3.18
2 F 0.2351 0.4702 0.9528  1 H 0.98
3 I 0.5143 0.0285 0.4220  1 H 2.27
4 H 0.3088 0.6177 0.1079  1 F 0.98

## Properties
**Mass density**: 4.78 Mg/m³
**Symmetry**: No. 8

***

# 12
A relaxed structure of InH3F, computed with PBE-GGA.

a b c (Å): 3.6872 3.6872 3.6872
angles (deg): 90.00 90.00 90.00
With the nearest neighbours (Å) after each atom.
Atoms (fractional coordinates):
1 H 0.0000 0.0000 0.5000  2 F 1.84
2 H 0.5000 0.0000 0.0000  2 F 1.84
3 F 0.0000 0.0000 0.0000  6 H 1.84
4 In 0.5000 0.5000 0.5000  12 H 2.61
5 H 0.0000 0.5000 0.0000  2 F 1.84

## Properties
**Mass density**: 4.53 Mg/m³
**Symmetry**: No. 221
**E above lowest polymorph**: 550 meV per atom

***

Let's list energy in order: -37.91, -44.62, -33.66, -43.44, -15.17, -14.62, -12.39, -10.12, -9.58, -17.01, -13.45, -11.34 eV/cell.